This record from Alexandria describes crystalline Li3Pr2Tl3 at its relaxed geometry. The functional is PBE.

Values from the calculation:
Formation energy   -0.168 eV per atom
Space-group type   P6_3/mcm, No. 193

a = 6.4224 Å, b = 9.0207 Å, c = 9.0206 Å
α = 60.00°, β = 90.00°, γ = 90.00°
Positions (direct):
Li1 0.7500 0.0000 0.2845
Li2 0.7500 0.2845 0.7155
Li3 0.7500 0.7155 0.0000
Li4 0.2500 0.0000 0.7155
Li5 0.2500 0.7155 0.2845
Li6 0.2500 0.2845 0.0000
Pr1 0.0000 0.3333 0.3333
Pr2 0.5000 0.6667 0.6667
Pr3 0.0000 0.6667 0.6667
Pr4 0.5000 0.3333 0.3333
Tl1 0.7500 0.0000 0.6444
Tl2 0.7500 0.6444 0.3556
Tl3 0.7500 0.3556 0.0000
Tl4 0.2500 0.0000 0.3556
Tl5 0.2500 0.3556 0.6444
Tl6 0.2500 0.6444 0.0000

---

This record from Alexandria describes crystalline SiBiTe2 at its relaxed geometry. The functional is PBE.

Values from the calculation:
Formation energy (no corrections)   0.44 eV per atom
Energy relative to the lowest polymorph listed for this composition   7.35 kcal/mol of atoms
Space-group type   R-3m, No. 166

a = 9.6599 Å, b = 9.6599 Å, c = 9.6599 Å
α = 25.45°, β = 25.45°, γ = 25.45°
Positions (direct):
Si1 0.0000 0.0000 0.0000
Te1 0.0963 0.0963 0.0963
Te2 0.9037 0.9037 0.9037
Bi1 0.5000 0.5000 0.5000

---

This record from Alexandria describes crystalline BeAs2Se at its relaxed geometry. The functional is PBE.

Values from the calculation:
Formation energy (no corrections)   0.39 eV per atom
Energy relative to the lowest polymorph listed for this composition   15.78 kcal/mol of atoms
Space-group type   R-3m, No. 166

a = 10.7716 Å, b = 10.7716 Å, c = 10.7716 Å
α = 15.49°, β = 15.49°, γ = 15.49°
Positions (direct):
Be1 0.2500 0.2500 0.2500
As1 0.9728 0.9728 0.9728
As2 0.5272 0.5272 0.5272
Se1 0.7500 0.7500 0.7500